--- A ---
First-principles (GGA-PBE) data for a geometry-optimized CaZrAl3 structure, as listed in Alexandria via LeMat-Bulk.

Lattice parameters (Å, degrees): 5.0445 5.0445 5.0445 90.00 90.00 90.00
Closest atoms and distances in Å follow each position.
Space group Pm-3m (No. 221)
Symmetry-distinct sites (fractional):
Ca (0.0000, 0.0000, 0.0000)  6 Al 2.52
Zr (0.5000, 0.5000, 0.5000)  12 Al 3.57
Al (0.0000, 0.0000, 0.5000)  2 Ca 2.52

Results
Magnetization in Bohr magnetons per cell: 0.000

--- B ---
First-principles (GGA-PBE) data for a geometry-optimized CaZrAl3 structure, as listed in Alexandria via LeMat-Bulk.

Lattice parameters (Å, degrees): 5.2192 5.2192 5.2192 90.00 90.00 90.00
Closest atoms and distances in Å follow each position.
Space group Pm-3m (No. 221)
Symmetry-distinct sites (fractional):
Ca (0.0000, 0.0000, 0.0000)  12 Al 3.69
Zr (0.5000, 0.5000, 0.5000)  6 Al 2.61
Al (0.0000, 0.5000, 0.5000)  2 Zr 2.61

Results
Magnetization in Bohr magnetons per cell: 0.000

Of them, B has the highest stability.

--- A ---
First-principles (GGA-PBE) data for a geometry-optimized Al3Cd2 structure, as listed in Alexandria via LeMat-Bulk.

Lattice parameters (Å, degrees): 4.4021 4.4021 6.5247 90.00 90.00 120.00
Closest atoms and distances in Å follow each position.
Space group P-3m1 (No. 164)
Symmetry-distinct sites (fractional):
Al (0.0000, 0.0000, 0.0000)  6 Cd 2.82
Al (0.3333, 0.6667, 0.3823)  4 Cd 2.81-2.84, 3 Al 2.97
Cd (0.3333, 0.6667, 0.8124)  7 Al 2.81-2.84

Results
Magnetization in Bohr magnetons per cell: 0.000

--- B ---
First-principles (GGA-PBE) data for a geometry-optimized Al3Cd2 structure, as listed in Alexandria via LeMat-Bulk.

Lattice parameters (Å, degrees): 3.0066 3.0066 36.7876 90.00 90.00 120.00
Closest atoms and distances in Å follow each position.
Space group R-3m (No. 166, hexagonal axes)
Symmetry-distinct sites (fractional):
Al (0.0000, 0.0000, 0.0000)  6 Al 3.01, 6 Cd 3.05
Al (0.0000, 0.0000, 0.1970)  9 Al 2.83-3.01, 3 Cd 3.05
Cd (0.0000, 0.0000, 0.4015)  6 Cd 3.01, 6 Al 3.05

Results
Magnetization in Bohr magnetons per cell: 0.000

--- C ---
First-principles (GGA-PBE) data for a geometry-optimized Al3Cd2 structure, as listed in Alexandria via LeMat-Bulk.

Lattice parameters (Å, degrees): 2.9792 6.9336 9.8562 91.32 90.43 100.83
Closest atoms and distances in Å follow each position.
Space group P1 (No. 1)
Symmetry-distinct sites (fractional):
Al (0.0000, 0.0000, 0.0000)  7 Al 2.77-2.98, 2 Cd 2.97-3.01
Al (0.0214, 0.0532, 0.7050)  7 Al 2.78-2.98
Al (0.4117, 0.8274, 0.5191)  7 Al 2.78-2.98
Al (0.4345, 0.8809, 0.2243)  7 Al 2.77-2.98, 2 Cd 2.97-3.02
Al (0.6383, 0.2967, 0.8816)  6 Al 2.77-2.98, 4 Cd 2.85-3.04
Al (0.7957, 0.5839, 0.3423)  6 Al 2.77-2.98, 4 Cd 2.85-3.04
Cd (0.0917, 0.1920, 0.3816)  6 Al 2.97-3.26, 5 Cd 2.98-3.19
Cd (0.2174, 0.4408, 0.1118)  6 Al 2.85-3.17, 4 Cd 2.98-3.19
Cd (0.3471, 0.6891, 0.8424)  6 Al 2.97-3.25, 5 Cd 2.98-3.19
Cd (0.7214, 0.4405, 0.6121)  4 Al 2.86-3.15, 6 Cd 2.98-3.19

Results
Magnetization in Bohr magnetons per cell: 0.000

Of them, B has the highest stability.

--- A ---
First-principles (GGA-PBE) data for a geometry-optimized Al8Cd structure, as listed in Alexandria via LeMat-Bulk.

Lattice parameters (Å, degrees): 11.3484 11.3484 2.7789 90.00 90.00 90.00
Closest atoms and distances in Å follow each position.
Space group I4/mmm (No. 139)
Symmetry-distinct sites (fractional):
Al (0.0000, 0.3493, 0.0000)  8 Al 2.78-2.80
Al (0.1755, 0.1755, 0.0000)  6 Al 2.77-2.80, 1 Cd 2.82
Cd (0.0000, 0.0000, 0.0000)  2 Cd 2.78, 4 Al 2.82

Results
Magnetization in Bohr magnetons per cell: 0.000

--- B ---
First-principles (GGA-PBE) data for a geometry-optimized Al8Cd structure, as listed in Alexandria via LeMat-Bulk.

Lattice parameters (Å, degrees): 8.8584 8.8584 3.9935 90.00 90.00 90.00
Closest atoms and distances in Å follow each position.
Space group I4/mmm (No. 139)
Symmetry-distinct sites (fractional):
Al (0.0000, 0.3386, 0.0000)  11 Al 2.84-2.91, 1 Cd 3.00
Al (0.1721, 0.1721, 0.5000)  10 Al 2.79-3.05, 2 Cd 2.94
Cd (0.0000, 0.0000, 0.0000)  12 Al 2.94-3.00

Results
Magnetization in Bohr magnetons per cell: 0.000

Of them, B has the highest stability.

--- A ---
First-principles (GGA-PBE) data for a geometry-optimized Al4Cd5 structure, as listed in Alexandria via LeMat-Bulk.

Lattice parameters (Å, degrees): 9.0752 9.0752 4.4288 90.00 90.00 90.00
Closest atoms and distances in Å follow each position.
Space group I4/mmm (No. 139)
Symmetry-distinct sites (fractional):
Al (0.0000, 0.3463, 0.0000)  5 Al 2.79-2.97, 2 Cd 3.01
Cd (0.0000, 0.0000, 0.0000)  8 Cd 3.10, 4 Al 3.14
Cd (0.1691, 0.1691, 0.5000)  6 Al 3.01-3.14, 6 Cd 3.04-3.10

Results
Magnetization in Bohr magnetons per cell: 0.000

--- B ---
First-principles (GGA-PBE) data for a geometry-optimized Al4Cd5 structure, as listed in Alexandria via LeMat-Bulk.

Lattice parameters (Å, degrees): 8.9540 8.9540 5.5285 90.00 90.00 120.00
Closest atoms and distances in Å follow each position.
Space group P6_3/mcm (No. 193)
Symmetry-distinct sites (fractional):
Al (0.0000, 0.0000, 0.0000)  8 Al 2.76-2.83
Al (0.0000, 0.2752, 0.2500)  2 Al 2.83, 5 Cd 2.93-3.07
Cd (0.0000, 0.3834, 0.7500)  5 Al 2.93-3.07, 4 Cd 3.11
Cd (0.3333, 0.6667, 0.0000)  2 Cd 2.76

Results
Magnetization in Bohr magnetons per cell: 0.000

Of them, A has the highest stability.